A.
Crystalline Ba2Li2Cu at its relaxed geometry. Source: Alexandria via LeMat-Bulk, functional PBE-GGA.

It has space group C2/m (No. 12), with a = 12.2952 Å, b = 5.3812 Å, c = 5.3804 Å, α = 90.00°, β = 115.85° and γ = 90.00°. The distinct sites, in fractional coordinates, are Ba at (0.1832, 0.0000, 0.1833), Li at (0.0000, 0.2641, 0.5000) and Cu at (0.0000, 0.5000, 0.0000).

B.
Crystalline Ba2Li2Cu at its relaxed geometry. Source: Alexandria via LeMat-Bulk, functional PBE-GGA.

It has space group P4/mbm (No. 127), with a = 7.7880 Å, b = 7.7880 Å, c = 5.3337 Å, α = 90.00°, β = 90.00° and γ = 90.00°. The distinct sites, in fractional coordinates, are Ba at (0.1879, 0.3121, 0.0000), Li at (0.1313, 0.6313, 0.5000) and Cu at (0.0000, 0.0000, 0.5000).

C.
Crystalline Ba2Li2Cu at its relaxed geometry. Source: Alexandria via LeMat-Bulk, functional PBE-GGA.

It has space group I4/mmm (No. 139), with a = 4.0360 Å, b = 4.0360 Å, c = 20.4539 Å, α = 90.00°, β = 90.00° and γ = 90.00°. The distinct sites, in fractional coordinates, are Ba at (0.0000, 0.0000, 0.0923), Li at (0.0000, 0.5000, 0.2500) and Cu at (0.0000, 0.0000, 0.5000).

The least stable of them is B.

A.
Crystalline Ba2LiMgCu at its relaxed geometry. Source: Alexandria via LeMat-Bulk, functional PBE-GGA.

It has space group P4/mmm (No. 123), with a = 6.2828 Å, b = 6.2828 Å, c = 4.8868 Å, α = 90.00°, β = 90.00° and γ = 90.00°. The distinct sites, in fractional coordinates, are Ba at (0.0000, 0.5000, 0.0000), Li at (0.0000, 0.0000, 0.5000), Mg at (0.5000, 0.5000, 0.5000) and Cu at (0.0000, 0.0000, 0.0000).

B.
Crystalline Ba2LiMgCu at its relaxed geometry. Source: Alexandria via LeMat-Bulk, functional PBE-GGA.

It has space group P4/mmm (No. 123), with a = 6.2404 Å, b = 6.2404 Å, c = 5.1169 Å, α = 90.00°, β = 90.00° and γ = 90.00°. The distinct sites, in fractional coordinates, are Ba at (0.0000, 0.5000, 0.0000), Li at (0.0000, 0.0000, 0.5000), Mg at (0.5000, 0.5000, 0.5000) and Cu at (0.5000, 0.5000, 0.0000).

The least stable of them is A.

A.
Crystalline BaLi2CuRh at its relaxed geometry. Source: Alexandria via LeMat-Bulk, functional PBE-GGA.

It has space group P4/mmm (No. 123), with a = 4.8585 Å, b = 4.8585 Å, c = 5.7069 Å, α = 90.00°, β = 90.00° and γ = 90.00°. The distinct sites, in fractional coordinates, are Ba at (0.0000, 0.0000, 0.0000), Li at (0.0000, 0.5000, 0.5000), Cu at (0.5000, 0.5000, 0.0000) and Rh at (0.0000, 0.0000, 0.5000).

B.
Crystalline BaLi2CuRh at its relaxed geometry. Source: Alexandria via LeMat-Bulk, functional PBE-GGA.

It has space group P4/mmm (No. 123), with a = 4.7755 Å, b = 4.7755 Å, c = 4.9913 Å, α = 90.00°, β = 90.00° and γ = 90.00°. The distinct sites, in fractional coordinates, are Ba at (0.0000, 0.0000, 0.0000), Li at (0.0000, 0.5000, 0.5000), Cu at (0.5000, 0.5000, 0.0000) and Rh at (0.5000, 0.5000, 0.5000).

C.
Crystalline BaLi2CuRh at its relaxed geometry. Source: Alexandria via LeMat-Bulk, functional PBE-GGA.

It has space group P4/mmm (No. 123), with a = 4.6953 Å, b = 4.6953 Å, c = 4.9496 Å, α = 90.00°, β = 90.00° and γ = 90.00°. The distinct sites, in fractional coordinates, are Ba at (0.0000, 0.0000, 0.0000), Li at (0.0000, 0.5000, 0.5000), Cu at (0.5000, 0.5000, 0.5000) and Rh at (0.5000, 0.5000, 0.0000).

The least stable of them is A.

A.
Crystalline Ba2SrLiCu at its relaxed geometry. Source: Alexandria via LeMat-Bulk, functional PBE-GGA.

It has space group P4/mmm (No. 123), with a = 6.2827 Å, b = 6.2827 Å, c = 6.0835 Å, α = 90.00°, β = 90.00° and γ = 90.00°. The distinct sites, in fractional coordinates, are Ba at (0.0000, 0.5000, 0.0000), Sr at (0.0000, 0.0000, 0.5000), Li at (0.5000, 0.5000, 0.5000) and Cu at (0.0000, 0.0000, 0.0000).

B.
Crystalline Ba2SrLiCu at its relaxed geometry. Source: Alexandria via LeMat-Bulk, functional PBE-GGA.

It has space group P4/mmm (No. 123), with a = 6.3965 Å, b = 6.3965 Å, c = 5.3636 Å, α = 90.00°, β = 90.00° and γ = 90.00°. The distinct sites, in fractional coordinates, are Ba at (0.0000, 0.5000, 0.0000), Sr at (0.0000, 0.0000, 0.5000), Li at (0.5000, 0.5000, 0.5000) and Cu at (0.5000, 0.5000, 0.0000).

C.
Crystalline Ba2SrLiCu at its relaxed geometry. Source: Alexandria via LeMat-Bulk, functional PBE-GGA.

It has space group P4/mmm (No. 123), with a = 6.6561 Å, b = 6.6561 Å, c = 4.7407 Å, α = 90.00°, β = 90.00° and γ = 90.00°. The distinct sites, in fractional coordinates, are Ba at (0.0000, 0.5000, 0.0000), Sr at (0.0000, 0.0000, 0.5000), Li at (0.5000, 0.5000, 0.0000) and Cu at (0.5000, 0.5000, 0.5000).

The least stable of them is C.

A.
Crystalline BaSrLiCu at its relaxed geometry. Source: Alexandria via LeMat-Bulk, functional PBE-GGA.

It has space group R3m (No. 160, hexagonal axes), with a = 4.5531 Å, b = 4.5531 Å, c = 24.5280 Å, α = 90.00°, β = 90.00° and γ = 120.00°. The distinct sites, in fractional coordinates, are Ba at (0.0000, 0.0000, 0.0000), Sr at (0.0000, 0.0000, 0.8219), Li at (0.0000, 0.0000, 0.2399) and Cu at (0.0000, 0.0000, 0.5735).

B.
Crystalline BaSrLiCu at its relaxed geometry. Source: Alexandria via LeMat-Bulk, functional PBE-GGA.

It has space group F-43m (No. 216), with a = 8.1023 Å, b = 8.1023 Å, c = 8.1023 Å, α = 90.00°, β = 90.00° and γ = 90.00°. The distinct sites, in fractional coordinates, are Ba at (0.0000, 0.0000, 0.0000), Sr at (0.0000, 0.0000, 0.5000), Li at (0.2500, 0.2500, 0.7500) and Cu at (0.2500, 0.2500, 0.2500).

The least stable of them is B.

A.
Crystalline BaLi2ZnCu at its relaxed geometry. Source: Alexandria via LeMat-Bulk, functional PBE-GGA.

It has space group P4/mmm (No. 123), with a = 5.0574 Å, b = 5.0574 Å, c = 4.8473 Å, α = 90.00°, β = 90.00° and γ = 90.00°. The distinct sites, in fractional coordinates, are Ba at (0.0000, 0.0000, 0.0000), Li at (0.0000, 0.5000, 0.5000), Zn at (0.5000, 0.5000, 0.5000) and Cu at (0.5000, 0.5000, 0.0000).

B.
Crystalline BaLi2ZnCu at its relaxed geometry. Source: Alexandria via LeMat-Bulk, functional PBE-GGA.

It has space group P4/mmm (No. 123), with a = 5.0536 Å, b = 5.0536 Å, c = 4.8186 Å, α = 90.00°, β = 90.00° and γ = 90.00°. The distinct sites, in fractional coordinates, are Ba at (0.0000, 0.0000, 0.0000), Li at (0.0000, 0.5000, 0.5000), Zn at (0.5000, 0.5000, 0.0000) and Cu at (0.5000, 0.5000, 0.5000).

The least stable of them is A.

A.
Crystalline Ba2LiZnCu at its relaxed geometry. Source: Alexandria via LeMat-Bulk, functional PBE-GGA.

It has space group P4/mmm (No. 123), with a = 6.2274 Å, b = 6.2274 Å, c = 4.7685 Å, α = 90.00°, β = 90.00° and γ = 90.00°. The distinct sites, in fractional coordinates, are Ba at (0.0000, 0.5000, 0.0000), Li at (0.0000, 0.0000, 0.5000), Zn at (0.5000, 0.5000, 0.5000) and Cu at (0.5000, 0.5000, 0.0000).

B.
Crystalline Ba2LiZnCu at its relaxed geometry. Source: Alexandria via LeMat-Bulk, functional PBE-GGA.

It has space group P4/mmm (No. 123), with a = 6.1748 Å, b = 6.1748 Å, c = 4.7850 Å, α = 90.00°, β = 90.00° and γ = 90.00°. The distinct sites, in fractional coordinates, are Ba at (0.0000, 0.5000, 0.0000), Li at (0.0000, 0.0000, 0.5000), Zn at (0.5000, 0.5000, 0.5000) and Cu at (0.0000, 0.0000, 0.0000).

The least stable of them is B.

A.
Crystalline BaMg3Cu at its relaxed geometry. Source: Alexandria via LeMat-Bulk, functional PBE-GGA.

It has space group Pm-3m (No. 221), with a = 6.8190 Å, b = 6.8190 Å, c = 6.8190 Å, α = 90.00°, β = 90.00° and γ = 90.00°. The distinct sites, in fractional coordinates, are Ba at (0.0000, 0.0000, 0.0000), Mg at (0.0000, 0.0000, 0.5000) and Cu at (0.5000, 0.5000, 0.5000).

B.
Crystalline BaMg3Cu at its relaxed geometry. Source: Alexandria via LeMat-Bulk, functional PBE-GGA.

It has space group Pm-3m (No. 221), with a = 5.1528 Å, b = 5.1528 Å, c = 5.1528 Å, α = 90.00°, β = 90.00° and γ = 90.00°. The distinct sites, in fractional coordinates, are Ba at (0.0000, 0.0000, 0.0000), Mg at (0.0000, 0.5000, 0.5000) and Cu at (0.5000, 0.5000, 0.5000).

The least stable of them is A.